(one)
PrNd2Er7: optimized geometry, PBE.

Lattice parameters (Å, degrees): 6.157 7.130 7.943 77.35 75.14 73.40
Fractional positions:
1 Pr 0.000 0.000 0.000
2 Nd 0.201 0.300 0.600
3 Nd 0.799 0.700 0.400
4 Er 0.000 0.500 0.000
5 Er 0.200 0.799 0.601
6 Er 0.399 0.101 0.199
7 Er 0.401 0.600 0.199
8 Er 0.599 0.400 0.801
9 Er 0.601 0.899 0.801
10 Er 0.800 0.201 0.399



(two)
PrNd2Er7: optimized geometry, PBE.

Lattice parameters (Å, degrees): 14.789 14.789 3.512 90.00 90.00 154.63
Fractional positions:
1 Pr 0.000 0.000 0.000
2 Nd 0.292 0.708 0.500
3 Nd 0.708 0.292 0.500
4 Er 0.148 0.347 0.500
5 Er 0.185 0.815 0.000
6 Er 0.347 0.148 0.500
7 Er 0.500 0.500 0.500
8 Er 0.653 0.852 0.500
9 Er 0.815 0.185 0.000
10 Er 0.852 0.653 0.500



Question: which arrangement is favored energetically? Ranking from most to least stable: (one), (two).



(one)
Pr2Nd4Er3: optimized geometry, PBE.

Lattice parameters (Å, degrees): 3.638 3.638 27.067 90.00 90.00 120.00
Fractional positions:
1 Pr 0.000 0.000 0.000
2 Pr 0.000 0.000 0.213
3 Nd 0.000 0.000 0.347
4 Nd 0.000 0.000 0.558
5 Nd 0.333 0.667 0.672
6 Nd 0.333 0.667 0.885
7 Er 0.000 0.000 0.778
8 Er 0.333 0.667 0.108
9 Er 0.333 0.667 0.451



(two)
Pr2Nd4Er3: optimized geometry, PBE.

Lattice parameters (Å, degrees): 6.295 6.295 10.880 106.69 106.69 48.19
Fractional positions:
1 Pr 0.167 0.167 0.225
2 Pr 0.833 0.833 0.775
3 Nd 0.166 0.166 0.888
4 Nd 0.498 0.498 0.665
5 Nd 0.502 0.502 0.335
6 Nd 0.834 0.834 0.112
7 Er 0.165 0.165 0.554
8 Er 0.500 0.500 0.000
9 Er 0.835 0.835 0.446



Question: which arrangement is favored energetically? Ranking from most to least stable: (two), (one).



(one)
Pr2Nd5Er4: optimized geometry, PBE.

Lattice parameters (Å, degrees): 12.030 12.030 8.881 104.28 104.28 17.32
Fractional positions:
1 Pr 0.089 0.089 0.222
2 Pr 0.911 0.911 0.778
3 Nd 0.000 0.000 0.500
4 Nd 0.273 0.273 0.688
5 Nd 0.363 0.363 0.405
6 Nd 0.637 0.637 0.595
7 Nd 0.727 0.727 0.312
8 Er 0.182 0.182 0.954
9 Er 0.453 0.453 0.135
10 Er 0.547 0.547 0.865
11 Er 0.818 0.818 0.046



(two)
Pr2Nd5Er4: optimized geometry, PBE.

Lattice parameters (Å, degrees): 12.817 12.817 12.817 164.08 137.95 45.24
Fractional positions:
1 Pr 0.232 0.232 0.000
2 Pr 0.768 0.768 0.000
3 Nd 0.160 0.358 0.802
4 Nd 0.444 0.642 0.802
5 Nd 0.500 0.000 0.500
6 Nd 0.556 0.358 0.198
7 Nd 0.840 0.642 0.198
8 Er 0.096 0.096 0.000
9 Er 0.184 0.500 0.684
10 Er 0.816 0.500 0.316
11 Er 0.904 0.904 0.000



Question: which arrangement is favored energetically? Ranking from most to least stable: (one), (two).



(one)
Pr3NdEr7: optimized geometry, PBE.

Lattice parameters (Å, degrees): 7.064 7.064 8.730 90.00 90.00 120.00
Fractional positions:
1 Pr 0.001 0.500 0.000
2 Pr 0.500 0.500 0.000
3 Pr 0.500 0.999 0.000
4 Nd 0.667 0.333 0.341
5 Er 0.167 0.335 0.341
6 Er 0.167 0.833 0.341
7 Er 0.333 0.667 0.661
8 Er 0.334 0.167 0.663
9 Er 0.665 0.833 0.341
10 Er 0.833 0.167 0.663
11 Er 0.833 0.666 0.663



(two)
Pr3NdEr7: optimized geometry, PBE.

Lattice parameters (Å, degrees): 6.530 6.673 8.643 99.05 98.72 94.99
Fractional positions:
1 Pr 0.000 0.000 0.000
2 Pr 0.202 0.563 0.160
3 Pr 0.798 0.437 0.840
4 Nd 0.500 0.000 0.500
5 Er 0.014 0.764 0.584
6 Er 0.273 0.277 0.784
7 Er 0.442 0.793 0.856
8 Er 0.500 0.500 0.500
9 Er 0.558 0.207 0.144
10 Er 0.727 0.723 0.216
11 Er 0.986 0.236 0.416



Question: which arrangement is favored energetically? Ranking from most to least stable: (two), (one).